Record 1
Density functional theory data (PBE) for an optimized crystal structure of Nb2VCoHg.

Calculated values
Energy relative to the elements, eV/atom: 0.9327
Space group: P4/mmm

abc: 4.5359 4.8255 4.5359
angles: 90.00 90.00 90.00
Sites, in units of the cell vectors:
Co 0.0000 0.0000 0.0000
Nb 0.0000 0.0000 0.5000
Nb 0.5000 0.0000 0.0000
V 0.5000 0.5000 0.5000
Hg 0.0000 0.5000 0.0000

---

Record 2
Density functional theory data (PBE) for an optimized crystal structure of Nd4CoHg2.

Calculated values
Energy relative to the elements, eV/atom: -0.2171
Space group: C2/m

abc: 3.9987 6.6544 8.7604
angles: 112.15 103.19 90.00
Sites, in units of the cell vectors:
Nd 0.4010 0.7378 0.8020
Nd 0.9037 0.2468 0.8074
Nd 0.5990 0.2622 0.1980
Nd 0.0963 0.7532 0.1926
Hg 0.7476 0.7648 0.4952
Hg 0.2524 0.2352 0.5048
Co 0.0000 0.0000 0.0000

---

Record 3
Density functional theory data (PBE) for an optimized crystal structure of Nd12CoHg6.

Calculated values
Energy relative to the elements, eV/atom: -0.2184
Space group: R-3

abc: 8.4405 8.4405 8.4405
angles: 94.31 94.31 94.31
Sites, in units of the cell vectors:
Nd 0.0296 0.9183 0.6897
Nd 0.9704 0.0817 0.3103
Nd 0.4598 0.8012 0.5766
Nd 0.3103 0.9704 0.0817
Nd 0.6897 0.0296 0.9183
Nd 0.5402 0.1988 0.4234
Nd 0.9183 0.6897 0.0296
Nd 0.8012 0.5766 0.4598
Nd 0.5766 0.4598 0.8012
Nd 0.1988 0.4234 0.5402
Nd 0.0817 0.3103 0.9704
Nd 0.4234 0.5402 0.1988
Hg 0.8552 0.2603 0.6488
Hg 0.6488 0.8552 0.2603
Hg 0.3512 0.1448 0.7397
Hg 0.7397 0.3512 0.1448
Hg 0.1448 0.7397 0.3512
Hg 0.2603 0.6488 0.8552
Co 0.0000 0.0000 0.0000

---

Record 4
Density functional theory data (PBE) for an optimized crystal structure of Nd2CoHg.

Calculated values
Energy relative to the elements, eV/atom: -0.1767
Space group: R3m

abc: 4.0145 4.0145 8.1537
angles: 75.75 75.75 60.00
Sites, in units of the cell vectors:
Co 0.6656 0.6656 0.0031
Nd 0.0648 0.0648 0.8057
Nd 0.2692 0.2692 0.1923
Hg 0.5004 0.5004 0.4988

---

Record 5
Density functional theory data (PBE) for an optimized crystal structure of Nd2CoHg.

Calculated values
Energy relative to the elements, eV/atom: -0.2106
Space group: P4/mmm

abc: 3.5576 3.5576 7.7896
angles: 90.00 90.00 90.00
Sites, in units of the cell vectors:
Nd 0.0000 0.0000 0.2177
Nd 0.0000 0.0000 0.7823
Hg 0.5000 0.5000 0.5000
Co 0.5000 0.5000 0.0000

---

Record 6
Density functional theory data (PBE) for an optimized crystal structure of Nd8CoHg2.

Calculated values
Energy relative to the elements, eV/atom: -0.1557
Space group: C2/m

abc: 4.9358 7.2956 9.6785
angles: 92.83 104.77 90.00
Sites, in units of the cell vectors:
Hg 0.8177 0.2520 0.6355
Hg 0.1823 0.7480 0.3645
Nd 0.7847 0.6864 0.5694
Nd 0.9932 0.2259 0.9864
Nd 0.2153 0.3136 0.4306
Nd 0.0068 0.7741 0.0136
Nd 0.3626 0.9971 0.7252
Nd 0.6374 0.0029 0.2748
Nd 0.5937 0.4882 0.1874
Nd 0.4063 0.5118 0.8126
Co 0.5000 0.0000 0.0000